First-principles (GGA-PBE) data for an optimized crystal structure of CeHoTl2S4, as listed in Alexandria.

The structure belongs to space group P2/m (No. 10); the cell edges are 7.116, 4.105 and 7.864 Å and the angles 90.00°, 107.35° and 90.00°. The inequivalent atoms are Ce at (0.000, 0.000, 0.000), Ho at (0.500, 0.500, 0.000), Tl at (0.000, 0.500, 0.500), Tl at (0.500, 0.000, 0.500), S at (0.242, 0.500, 0.200) and S at (0.276, 0.000, 0.803).

The value obtained for the total energy is -43.25 eV per formula unit. The energy relative to the elements, uncorrected comes out at -1437.6 meV/atom.